No. 1
Entry from Alexandria: a relaxed Ca2AcPdO6 crystal (PBE).

Lattice parameters (Å, degrees): 5.684 6.149 8.320 90.00 89.45 90.00
Last column: magnetic moment on the atom in μB.
Element x y z (fractional)
O1 0.375 0.905 0.720  0.08
O2 0.666 0.266 0.598  0.12
O3 0.625 0.095 0.280  0.08
O4 0.834 0.766 0.902  0.12
O5 0.875 0.595 0.220  0.08
O6 0.798 0.834 0.534  0.08
O7 0.125 0.405 0.780  0.08
O8 0.298 0.666 0.034  0.08
O9 0.334 0.734 0.402  0.12
O10 0.166 0.234 0.098  0.12
O11 0.202 0.166 0.466  0.08
O12 0.702 0.334 0.966  0.08
Ca1 0.492 0.456 0.223  0.00
Ca2 0.008 0.956 0.277  0.00
Ca3 0.992 0.044 0.723  0.00
Ca4 0.508 0.544 0.777  0.00
Pd1 0.000 0.500 0.000  0.25
Pd2 0.500 0.000 0.500  0.25
Ac1 0.500 0.000 0.000  0.01
Ac2 0.000 0.500 0.500  0.01

## Properties
Raw formation energy   -2.04 eV/atom
Magnetic moment   1.90 μB per cell


No. 2
Entry from Alexandria: a relaxed AlTl2Ni crystal (PBE).

Lattice parameters (Å, degrees): 4.934 4.934 4.934 60.00 60.00 60.00
Element x y z (fractional)
Al1 0.500 0.500 0.500
Ni1 0.250 0.250 0.250
Tl1 0.750 0.750 0.750
Tl2 0.000 0.000 0.000

## Properties
DFT formation energy   0.46 eV per atom
Magnetic moment   0.00 μB per cell